A geometry-optimized HfMgSb3 structure, computed with GGA-PBE.

Properties
Final energy   -19.88 eV per cell
ΔE to the lowest computed polymorph   563 meV/atom
Uncorrected formation energy   807 meV/atom

a b c (Å): 5.245 5.245 5.245
angles (deg): 90.00 90.00 90.00
Space group Pm-3m (No. 221)
Symmetry-distinct sites (fractional):
Hf1 0.000 0.000 0.000 x1
Mg1 0.500 0.500 0.500 x1
Sb1 0.000 0.500 0.500 x3

***

A geometry-optimized Sb2OsCl structure, computed with GGA-PBE.

Properties
Final energy   -20.15 eV per cell
ΔE to the lowest computed polymorph   306 meV/atom
Uncorrected formation energy   294 meV/atom

a b c (Å): 3.232 4.661 5.436
angles (deg): 90.00 90.00 90.00
Space group Pmmm (No. 47)
Symmetry-distinct sites (fractional):
Sb1 0.000 0.000 0.000 x1
Sb2 0.500 0.500 0.500 x1
Os1 0.000 0.000 0.500 x1
Cl1 0.500 0.500 0.000 x1

***

A geometry-optimized Rb3TlAg2Cl9 structure, computed with GGA-PBE.

Properties
Final energy   -44.54 eV per cell
Uncorrected formation energy   -1130 meV/atom

a b c (Å): 7.4400 7.4400 9.1526
angles (deg): 90.00 90.00 120.00
Space group P-3m1 (No. 164)
Symmetry-distinct sites (fractional):
Rb1 0.0000 0.0000 0.0000 x1
Rb2 0.3333 0.6667 0.6844 x2
Tl1 0.0000 0.0000 0.5000 x1
Ag1 0.3333 0.6667 0.1581 x2
Cl1 0.0000 0.5000 0.0000 x3
Cl2 0.1676 0.3352 0.3318 x6

***

A geometry-optimized La2AgB2 structure, computed with GGA-PBE.

Properties
Final energy   -52.81 eV per cell

a b c (Å): 7.324 7.324 3.875
angles (deg): 90.00 90.00 90.00
Space group P4/mbm (No. 127)
Symmetry-distinct sites (fractional):
La1 0.187 0.313 0.000 x4
Ag1 0.000 0.000 0.500 x2
B1 0.077 0.577 0.500 x4

***

A geometry-optimized ScNi2Os structure, computed with GGA-PBE.

Properties
Final energy   -29.01 eV per cell
ΔE to the lowest computed polymorph   187 meV/atom

a b c (Å): 2.743 2.743 7.399
angles (deg): 90.00 90.00 90.00
Space group P4/mmm (No. 123)
Symmetry-distinct sites (fractional):
Sc1 0.000 0.000 0.000 x1
Ni1 0.500 0.500 0.268 x2
Os1 0.000 0.000 0.500 x1

***

A geometry-optimized TbDyAlGe structure, computed with GGA-PBE.

Properties
Final energy   -40.75 eV per cell

a b c (Å): 4.025 4.374 10.911
angles (deg): 90.00 90.00 90.00
Space group Amm2 (No. 38)
Symmetry-distinct sites (fractional):
Tb1 0.000 0.000 0.000 x2
Dy1 0.500 0.000 0.282 x2
Al1 0.000 0.000 0.715 x2
Ge1 0.500 0.000 0.563 x2

***

Question: The lowest final energy belongs to which entry?
Answer: La2AgB2